# LiPtPb

A geometry-optimized LiPtPb structure (PBE-GGA, OQMD).

## Properties
E_tot: -4.089 eV per atom

Unit cell a=4.3156 b=4.3156 c=4.3156 alpha=60.00 beta=60.00 gamma=60.00
Closest atoms and distances in Å follow each position.
Fractional coordinates of all 3 atoms:
Li (0.0000, 0.0000, 0.0000)  4 Pb 2.64, 4 Pt 2.64
Pb (0.2500, 0.2500, 0.2500)  4 Li 2.64
Pt (0.7500, 0.7500, 0.7500)  4 Li 2.64